(1)
# InP2Pt2 | Alexandria via LeMat-Bulk | PBE | relaxed
data_InP2Pt2
_chemical_formula_sum 'In2 P4 Pt4'
_cell_length_a 4.453
_cell_length_b 4.453
_cell_length_c 9.551
_cell_angle_alpha 90.00
_cell_angle_beta 90.00
_cell_angle_gamma 90.00
_symmetry_space_group_name_H-M 'I 4/m m m'
_symmetry_Int_Tables_number 139
_symmetry_space_group_name_Hall '-I 4 2'
loop_
_atom_site_label
_atom_site_fract_x
_atom_site_fract_y
_atom_site_fract_z
In1 0.000 0.000 0.000
P1 0.000 0.500 0.250
Pt1 0.000 0.000 0.351
# DFT total energy = -5.289 eV per atom
# Magnetization = 0.0 μB/cell
# Density = 9.94 g/cm³
# Calculated formation energy = -0.80 eV/f.u.

(2)
# CrAsPb2 | Alexandria via LeMat-Bulk | PBE | relaxed
data_CrAsPb2
_chemical_formula_sum 'Cr1 As1 Pb2'
_cell_length_a 4.840
_cell_length_b 4.840
_cell_length_c 4.151
_cell_angle_alpha 90.00
_cell_angle_beta 90.00
_cell_angle_gamma 90.00
_symmetry_space_group_name_H-M 'P 4/m m m'
_symmetry_Int_Tables_number 123
_symmetry_space_group_name_Hall '-P 4 2'
loop_
_atom_site_label
_atom_site_fract_x
_atom_site_fract_y
_atom_site_fract_z
Cr1 0.000 0.000 0.000
As1 0.500 0.500 0.000
Pb1 0.000 0.500 0.500
# DFT total energy = -5.043 eV per atom
# Magnetization = 4.2 μB/cell
# Density = 9.25 g/cm³
# Calculated formation energy = 1.52 eV/f.u.

(3)
# NdHo2In | Alexandria via LeMat-Bulk | PBE | relaxed
data_NdHo2In
_chemical_formula_sum 'Nd1 Ho2 In1'
_cell_length_a 4.899
_cell_length_b 4.899
_cell_length_c 4.847
_cell_angle_alpha 90.00
_cell_angle_beta 90.00
_cell_angle_gamma 90.00
_symmetry_space_group_name_H-M 'P 4/m m m'
_symmetry_Int_Tables_number 123
_symmetry_space_group_name_Hall '-P 4 2'
loop_
_atom_site_label
_atom_site_fract_x
_atom_site_fract_y
_atom_site_fract_z
Nd1 0.000 0.000 0.000
Ho1 0.000 0.500 0.500
In1 0.500 0.500 0.000
# DFT total energy = -4.427 eV per atom
# Magnetization = 0.0 μB/cell
# Density = 8.41 g/cm³
# Calculated formation energy = -1.05 eV/f.u.